This record from OQMD via LeMat-Bulk describes a relaxed structure of SrPtW. The functional is GGA-PBE.

abc: 4.687 4.687 4.687
angles: 60.00 60.00 60.00
Fractional positions:
Sr  0.000  0.000  0.000
Pt  0.250  0.250  0.250
W  0.500  0.500  0.500

## Properties
The value obtained for the density is 10.6 g cm⁻³. As for the total energy: -5.99 eV per atom. For the magnetic moment, the calculation gives 0.049 μB per cell.

=====

This record from OQMD via LeMat-Bulk describes a relaxed structure of NdGe2PtAu. The functional is GGA-PBE.

abc: 4.406 4.406 10.383
angles: 90.00 90.00 90.00
Fractional positions:
Nd  0.250  0.250  0.247
Nd  0.750  0.750  0.753
Ge  0.250  0.250  0.645
Ge  0.250  0.750  0.000
Ge  0.750  0.250  0.000
Ge  0.750  0.750  0.355
Pt  0.250  0.250  0.881
Pt  0.750  0.750  0.119
Au  0.250  0.750  0.500
Au  0.750  0.250  0.500

## Properties
The value obtained for the density is 11.2 g cm⁻³. As for the total energy: -5.45 eV per atom. For the magnetic moment, the calculation gives 0.008 μB per cell.

=====

This record from OQMD via LeMat-Bulk describes a relaxed structure of ZrBeIr. The functional is GGA-PBE.

abc: 4.311 4.311 4.311
angles: 60.00 60.00 60.00
Fractional positions:
Zr  0.000  0.000  0.000
Be  0.750  0.750  0.750
Ir  0.250  0.250  0.250

## Properties
The value obtained for the density is 8.6 g cm⁻³. As for the total energy: -6.73 eV per atom. For the magnetic moment, the calculation gives 0.003 μB per cell.

=====

This record from OQMD via LeMat-Bulk describes a relaxed structure of Rb3HoBr6. The functional is GGA-PBE.

abc: 8.074 8.571 13.941
angles: 90.00 124.34 90.00
Fractional positions:
Rb  0.000  0.000  0.000
Rb  0.000  0.500  0.500
Rb  0.215  0.075  0.744
Rb  0.215  0.425  0.244
Rb  0.785  0.575  0.756
Rb  0.785  0.925  0.256
Ho  0.500  0.000  0.500
Ho  0.500  0.500  0.000
Br  0.168  0.177  0.446
Br  0.168  0.323  0.946
Br  0.263  0.729  0.428
Br  0.263  0.771  0.928
Br  0.400  0.050  0.276
Br  0.400  0.450  0.776
Br  0.600  0.550  0.224
Br  0.600  0.950  0.724
Br  0.737  0.229  0.072
Br  0.737  0.271  0.572
Br  0.832  0.677  0.054
Br  0.832  0.823  0.554

## Properties
The value obtained for the density is 3.8 g cm⁻³. As for the total energy: -3.59 eV per atom. For the magnetic moment, the calculation gives 0.002 μB per cell.

=====

This record from OQMD via LeMat-Bulk describes a relaxed structure of NiSn2Au. The functional is GGA-PBE.

abc: 4.158 4.158 5.373
angles: 90.00 90.00 120.00
Fractional positions:
Ni  0.000  0.000  0.000
Sn  0.333  0.667  0.788
Sn  0.667  0.333  0.212
Au  0.000  0.000  0.500

## Properties
The value obtained for the density is 10.2 g cm⁻³. As for the total energy: -4.45 eV per atom. For the magnetic moment, the calculation gives 0.005 μB per cell.

=====

This record from OQMD via LeMat-Bulk describes a relaxed structure of ThZrIr. The functional is GGA-PBE.

abc: 4.797 4.797 4.797
angles: 60.00 60.00 60.00
Fractional positions:
Th  0.000  0.000  0.000
Zr  0.500  0.500  0.500
Ir  0.250  0.250  0.250

## Properties
The value obtained for the density is 11.0 g cm⁻³. For the magnetic moment, the calculation gives 0.014 μB per cell. As for the calculated formation energy: -1.2 eV per formula unit.

=====

This record from OQMD via LeMat-Bulk describes a relaxed structure of Mg2Co. The functional is GGA-PBE.

abc: 9.980 9.320 5.115
angles: 81.90 67.60 30.49
Fractional positions:
Mg  0.039  0.039  0.211
Mg  0.211  0.211  0.039
Mg  0.211  0.539  0.211
Mg  0.461  0.789  0.461
Mg  0.539  0.211  0.539
Mg  0.789  0.461  0.789
Mg  0.789  0.789  0.961
Mg  0.961  0.961  0.789
Co  0.248  0.248  0.502
Co  0.498  0.498  0.752
Co  0.502  0.502  0.248
Co  0.752  0.752  0.498

## Properties
The value obtained for the density is 3.5 g cm⁻³. As for the total energy: -3.37 eV per atom. For the magnetic moment, the calculation gives 4.016 μB per cell.

=====

This record from OQMD via LeMat-Bulk describes a relaxed structure of AgF3. The functional is GGA-PBE.

abc: 3.974 4.180 5.346
angles: 90.09 101.38 107.51
Fractional positions:
Ag  0.135  0.285  0.216
Ag  0.865  0.715  0.784
F  0.088  0.175  0.704
F  0.323  0.719  0.038
F  0.405  0.725  0.585
F  0.595  0.275  0.415
F  0.677  0.281  0.962
F  0.912  0.825  0.296

## Properties
The value obtained for the density is 6.6 g cm⁻³. As for the total energy: -2.82 eV per atom.